Computed, not measured: K2NO after structural relaxation at the PBE level of DFT.

Results
Calculated total energy: -3.475 eV per atom
Space-group type: I-42d (122)
E_form (uncorrected): 0.395 eV/atom
Offset from the most stable computed form: 0.1017 eV per atom
Calculated volume: 97.07 Å³/f.u.

Cell and atoms, written as POSCAR:
```
K2NO
1.0
7.2871 0.0000 0.0000
0.0000 7.2871 0.0000
0.0000 0.0000 7.3124
K N O
8 4 4
Direct
0.2160 0.2500 0.1250 K
0.2500 0.7160 0.3750 K
0.2500 0.7840 0.8750 K
0.2840 0.2500 0.6250 K
0.7160 0.7500 0.6250 K
0.7500 0.2160 0.8750 K
0.7500 0.2840 0.3750 K
0.7840 0.7500 0.1250 K
0.0000 0.0000 0.5000 N
0.0000 0.5000 0.7500 N
0.5000 0.0000 0.2500 N
0.5000 0.5000 0.0000 N
0.0000 0.0000 0.0000 O
0.0000 0.5000 0.2500 O
0.5000 0.0000 0.7500 O
0.5000 0.5000 0.5000 O
```